# TlCd2Au

A geometry-optimized TlCd2Au structure (PBE, the Alexandria database).

Calculated values
Distance to the lowest polymorph of the same formula, eV per formula unit: 0.241
ΔH_f (0 K), eV per formula unit: -0.1
Mass density, g cm⁻³: 10.37

Cell lengths 3.0902, 4.8321, 13.4344 Å; angles 90.00, 90.00, 90.00 degrees
Closest atoms and distances in Å follow each position.
Space group Imm2 (No. 44)
Symmetry-distinct sites (fractional):
Tl: 0.0000 0.0000 0.0000 [2 per cell]  2 Tl 3.09, 2 Au 3.15, 4 Cd 3.24
Cd: 0.0000 0.0000 0.3880 [2 per cell]  2 Au 2.91, 2 Cd 3.09, 4 Tl 3.24
Cd: 0.0000 0.5000 0.1992 [2 per cell]  4 Au 2.87, 2 Cd 3.09
Au: 0.0000 0.5000 0.7042 [2 per cell]  6 Cd 2.87-2.91, 2 Au 3.09, 2 Tl 3.15